[1]
VASP calculation (PBE) on a geometry-optimized Zr3Sc8Al structure.

a = 7.514 Å, b = 7.514 Å, c = 7.514 Å
α = 117.79°, β = 117.79°, γ = 93.87°
Fractional positions:
1 Zr 0.000 0.000 0.000
2 Zr 0.250 0.750 0.500
3 Zr 0.750 0.250 0.500
4 Sc 0.120 0.120 0.742
5 Sc 0.245 0.245 0.504
6 Sc 0.259 0.755 0.000
7 Sc 0.378 0.378 0.258
8 Sc 0.622 0.880 0.000
9 Sc 0.741 0.741 0.496
10 Sc 0.755 0.259 0.000
11 Sc 0.880 0.622 0.000
12 Al 0.500 0.500 0.000

## Properties
magnetic moment	1.32	Bohr magnetons per cell
space group	I-42m
final energy	-6.07	eV per atom

[2]
VASP calculation (PBE) on a geometry-optimized ZrScAl structure.

a = 4.677 Å, b = 4.677 Å, c = 4.677 Å
α = 60.00°, β = 60.00°, γ = 60.00°
Fractional positions:
1 Zr 0.000 0.000 0.000
2 Sc 0.500 0.500 0.500
3 Al 0.250 0.250 0.250

## Properties
relative energy among the computed polymorphs	0.389	eV/atom
magnetic moment	0.00	Bohr magnetons per cell
space group	F-43m

[3]
VASP calculation (PBE) on a geometry-optimized Al3Se4 structure.

a = 11.217 Å, b = 11.217 Å, c = 11.217 Å
α = 161.25°, β = 161.25°, γ = 26.64°
Fractional positions:
1 Al 0.000 0.000 0.000
2 Al 0.321 0.321 0.000
3 Al 0.679 0.679 0.000
4 Se 0.197 0.197 0.000
5 Se 0.433 0.433 0.000
6 Se 0.567 0.567 0.000
7 Se 0.803 0.803 0.000

## Properties
relative energy among the computed polymorphs	0.216	eV/atom
magnetic moment	0.00	Bohr magnetons per cell
space group	I4/mmm
E_form (uncorrected)	-43.27	kJ per mole of atoms

[4]
VASP calculation (PBE) on a geometry-optimized Al2Se structure.

a = 6.095 Å, b = 6.095 Å, c = 8.622 Å
α = 90.00°, β = 90.00°, γ = 120.00°
Fractional positions:
1 Al 0.000 0.000 0.000
2 Al 0.000 0.000 0.500
3 Al 0.154 0.307 0.250
4 Al 0.154 0.846 0.250
5 Al 0.307 0.154 0.750
6 Al 0.693 0.846 0.250
7 Al 0.846 0.154 0.750
8 Al 0.846 0.693 0.750
9 Se 0.333 0.667 0.052
10 Se 0.333 0.667 0.448
11 Se 0.667 0.333 0.552
12 Se 0.667 0.333 0.948

## Properties
magnetic moment	0.00	Bohr magnetons per cell
space group	P6_3/mmc
E_form (uncorrected)	-7.29	kJ per mole of atoms

[5]
VASP calculation (PBE) on a geometry-optimized Al2Se structure.

a = 3.599 Å, b = 3.599 Å, c = 10.543 Å
α = 90.00°, β = 90.00°, γ = 120.00°
Fractional positions:
1 Al 0.333 0.667 0.085
2 Al 0.333 0.667 0.415
3 Al 0.667 0.333 0.585
4 Al 0.667 0.333 0.915
5 Se 0.000 0.000 0.250
6 Se 0.000 0.000 0.750

## Properties
magnetic moment	0.00	Bohr magnetons per cell
space group	P6_3/mmc
E_form (uncorrected)	-17.45	kJ per mole of atoms

[6]
VASP calculation (PBE) on a geometry-optimized Al2Se structure.

a = 4.930 Å, b = 4.930 Å, c = 2.759 Å
α = 90.00°, β = 90.00°, γ = 120.00°
Fractional positions:
1 Al 0.333 0.667 0.338
2 Al 0.667 0.333 0.662
3 Se 0.000 0.000 0.500

## Properties
magnetic moment	0.00	Bohr magnetons per cell
space group	P-3m1
E_form (uncorrected)	8.19	kJ per mole of atoms

[7]
VASP calculation (PBE) on a geometry-optimized AlSe2 structure.

a = 4.644 Å, b = 4.644 Å, c = 3.572 Å
α = 90.00°, β = 90.00°, γ = 120.00°
Fractional positions:
1 Al 0.000 0.000 0.000
2 Se 0.333 0.667 0.500
3 Se 0.667 0.333 0.500

## Properties
magnetic moment	0.00	Bohr magnetons per cell
space group	P6/mmm
E_form (uncorrected)	34.03	kJ per mole of atoms

[8]
VASP calculation (PBE) on a geometry-optimized Al2Se structure.

a = 5.561 Å, b = 5.561 Å, c = 5.561 Å
α = 145.62°, β = 145.62°, γ = 49.41°
Fractional positions:
1 Al 0.161 0.161 0.000
2 Al 0.839 0.839 0.000
3 Se 0.500 0.500 0.000

## Properties
magnetic moment	0.00	Bohr magnetons per cell
space group	I4/mmm
E_form (uncorrected)	-5.05	kJ per mole of atoms

Among the records above, which one has the highest magnetic moment?
Zr3Sc8Al

Which of these has the highest magnetic moment?
Zr3Sc8Al

Which value of magnetic moment does entry 6 give?
0.00 Bohr magnetons per cell